Entry 1:
VASP calculation (PBE) on a relaxed structure of TbSm4Dy3.

Output
The crystal system is orthorhombic. As for the offset from the most stable computed form: 0.1715 eV/atom. Its space group is Cmmm, No. 65.

Unit cell a=5.678 b=3.609 c=13.363 alpha=89.97 beta=102.27 gamma=90.00
Fractional positions:
Dy1 0.000 0.500 0.000
Dy2 0.152 0.000 0.304
Dy3 0.848 0.000 0.696
Sm1 0.723 0.500 0.446
Sm2 0.277 0.500 0.554
Sm3 0.397 0.500 0.793
Sm4 0.603 0.500 0.207
Tb1 0.500 0.000 0.000



Entry 2:
VASP calculation (PBE) on a relaxed structure of TbSm2Dy.

Output
The crystal system is orthorhombic. As for the offset from the most stable computed form: 0.0102 eV/atom. Its space group is Pmmn, No. 59.

Unit cell a=5.743 b=12.634 c=7.316 alpha=90.00 beta=90.00 gamma=90.00
Fractional positions:
Sm1 0.943 0.416 0.500
Sm2 0.443 0.584 0.999
Sm3 0.943 0.416 0.001
Sm4 0.443 0.084 0.000
Sm5 0.943 0.916 0.000
Sm6 0.443 0.084 0.501
Sm7 0.443 0.584 0.500
Sm8 0.943 0.916 0.499
Dy1 0.443 0.833 0.250
Dy2 0.943 0.667 0.750
Dy3 0.943 0.167 0.750
Dy4 0.443 0.333 0.250
Tb1 0.943 0.667 0.250
Tb2 0.443 0.333 0.750
Tb3 0.443 0.833 0.750
Tb4 0.943 0.167 0.250



Entry 3:
VASP calculation (PBE) on a relaxed structure of TbSmDy.

Output
The crystal system is trigonal. As for the offset from the most stable computed form: 0.0000 eV/atom. Its space group is P3m1, No. 156.

Unit cell a=3.576 b=3.576 c=8.738 alpha=90.00 beta=90.00 gamma=120.00
Fractional positions:
Sm1 0.333 0.667 0.667
Dy1 0.000 0.000 0.002
Tb1 0.667 0.333 0.331



Entry 4:
VASP calculation (PBE) on a relaxed structure of Tb4Sm8Dy3.

Output
The value obtained for the calculated total energy is -0.159 hartree per atom. The crystal system is monoclinic. Its space group is C2/m, No. 12.

Unit cell a=6.865 b=9.162 c=9.162 alpha=82.95 beta=110.73 gamma=110.73
Fractional positions:
Sm1 0.284 0.246 0.246
Sm2 0.000 0.296 0.704
Sm3 0.823 0.298 0.298
Sm4 0.716 0.754 0.754
Sm5 0.000 0.704 0.296
Sm6 0.177 0.702 0.702
Sm7 0.500 0.248 0.752
Sm8 0.500 0.752 0.248
Tb1 0.000 0.000 0.500
Tb2 0.000 0.000 0.000
Tb3 0.000 0.500 0.000
Tb4 0.500 0.000 0.000
Dy1 0.500 0.500 0.000
Dy2 0.500 0.000 0.500
Dy3 0.500 0.500 0.500



Entry 5:
VASP calculation (PBE) on a relaxed structure of Tb5Sm4Dy.

Output
The crystal system is monoclinic. As for the offset from the most stable computed form: 0.0000 eV/atom. Its space group is C2/m, No. 12.

Unit cell a=3.543 b=11.110 c=8.815 alpha=90.01 beta=101.58 gamma=90.00
Fractional positions:
Tb1 0.174 0.554 0.348
Tb2 0.173 0.947 0.347
Tb3 0.827 0.053 0.653
Tb4 0.826 0.446 0.652
Tb5 0.500 0.500 0.000
Sm1 0.971 0.250 0.942
Sm2 0.029 0.750 0.058
Sm3 0.654 0.250 0.308
Sm4 0.346 0.750 0.692
Dy1 0.500 0.000 0.000



Entry 6:
VASP calculation (PBE) on a relaxed structure of TbSm2Dy.

Output
The crystal system is tetragonal. As for the offset from the most stable computed form: 0.0046 eV/atom. Its space group is P4/mmm, No. 123.

Unit cell a=3.588 b=3.588 c=10.153 alpha=90.00 beta=90.00 gamma=90.00
Fractional positions:
Tb1 0.500 0.500 0.500
Sm1 0.000 0.000 0.751
Sm2 0.000 0.000 0.249
Dy1 0.500 0.500 0.000